MnH2S | Alexandria via LeMat-Bulk | GGA-PBE | relaxed; offset from the most stable computed form = 0 meV per atom
1.0
-0.395 -2.895 1.741
-1.573 -1.394 -2.674
4.791 -4.300 -2.739
H S Mn
4 2 2
Cartesian
3.247 -4.486 -1.738
-0.131 -4.482 -0.831
3.053 -5.931 -0.863
0.656 -3.779 0.503
1.117 -3.919 -2.940
-0.984 -2.144 -0.466
1.706 -4.669 -0.732
0.000 0.000 0.000